[1]
{
  "formula": "ZrPb2F8",
  "functional": "PBE-GGA",
  "state": "optimized geometry",
  "cell": [[6.330, -1.999, 0.000], [6.330, 1.999, 0.000], [-2.063, 0.000, 7.606]],
  "species": ["Zr", "Pb", "Pb", "F", "F", "F", "F", "F", "F", "F", "F"],
  "frac_coords": [[0.000, 0.000, 0.000], [0.227, 0.227, 0.710], [0.773, 0.773, 0.290], [0.036, 0.036, 0.763], [0.174, 0.174, 0.078], [0.316, 0.316, 0.466], [0.433, 0.433, 0.870], [0.567, 0.567, 0.130], [0.684, 0.684, 0.534], [0.826, 0.826, 0.922], [0.964, 0.964, 0.237]],
  "polymorph_energy_kj_per_mol_fu": 73,
  "raw_formation_energy_mev_per_atom": -2917.6
}

=====

[2]
{
  "formula": "LaSmSc4",
  "functional": "PBE-GGA",
  "state": "optimized geometry",
  "cell": [[3.302, -9.365, 0.000], [3.302, 9.365, 0.000], [0.000, 0.000, 5.410]],
  "species": ["La", "La", "Sm", "Sm", "Sc", "Sc", "Sc", "Sc", "Sc", "Sc", "Sc", "Sc"],
  "frac_coords": [[0.124, 0.876, 0.750], [0.876, 0.124, 0.250], [0.374, 0.626, 0.250], [0.626, 0.374, 0.750], [0.042, 0.459, 0.750], [0.211, 0.294, 0.750], [0.294, 0.211, 0.250], [0.459, 0.042, 0.250], [0.541, 0.958, 0.750], [0.706, 0.789, 0.750], [0.789, 0.706, 0.250], [0.958, 0.541, 0.250]]
}

=====

[3]
{
  "formula": "DyHgPt",
  "functional": "PBE-GGA",
  "state": "optimized geometry",
  "cell": [[6.673, 0.000, 0.000], [0.000, 6.673, 0.000], [0.000, 0.000, 6.673]],
  "species": ["Dy", "Dy", "Dy", "Dy", "Hg", "Hg", "Hg", "Hg", "Pt", "Pt", "Pt", "Pt"],
  "frac_coords": [[0.000, 0.000, 0.000], [0.000, 0.500, 0.500], [0.500, 0.000, 0.500], [0.500, 0.500, 0.000], [0.000, 0.000, 0.500], [0.000, 0.500, 0.000], [0.500, 0.000, 0.000], [0.500, 0.500, 0.500], [0.250, 0.250, 0.750], [0.250, 0.750, 0.250], [0.750, 0.250, 0.250], [0.750, 0.750, 0.750]]
}

=====

Computed values of magnetic moment (unit: μB per cell) for the preceding records, in sequence: 0.00, 0.00, 0.00.
Computed values of ρ (unit: g/cm3) for the preceding records, in sequence: 5.67, 4.66, 12.47.
Computed values of calculated total energy (unit: eV for the cell shown) for the preceding records, in sequence: -63.0, -69.0, -52.9.